Entry 1:
Tl2SbH: optimized geometry, PBE.

The structure in POSCAR format:
```
Tl2SbH
1.0
-2.960 2.960 6.301
2.960 -2.960 6.301
2.960 2.960 -6.301
Tl Sb H
4 2 2
Cartesian
4.441 0.840 -1.575 Tl
0.840 1.480 1.575 Tl
-1.480 2.120 4.725 Tl
2.120 1.480 7.876 Tl
2.960 0.000 3.150 Sb
0.000 0.000 6.301 Sb
0.000 0.000 0.000 H
0.000 2.960 3.150 H
```

Results
Offset from the most stable computed form = 165 meV/atom
Raw total energy = -21.5 eV/cell
Calculated volume = 220.9 Å³/cell

---

Entry 2:
Sr2Hg3SbPd6: optimized geometry, PBE.

The structure in POSCAR format:
```
Sr2Hg3SbPd6
1.0
8.518 -3.656 0.000
8.518 3.656 0.000
-0.007 0.000 4.108
Sr Hg Sb Pd
2 3 1 6
Cartesian
2.443 0.000 0.002 Sr
14.587 0.000 4.106 Sr
-0.003 0.000 2.054 Hg
4.256 1.828 2.054 Hg
4.256 -1.828 2.054 Hg
8.518 0.000 0.000 Sb
7.060 1.351 2.051 Pd
5.524 0.000 4.102 Pd
9.969 1.351 2.056 Pd
7.060 -1.351 2.051 Pd
11.506 0.000 0.006 Pd
9.969 -1.351 2.056 Pd
```

Results
Raw total energy = -44.5 eV/cell
Formation energy (no corrections) = -9.44 kcal/mol of atoms
Calculated volume = 255.9 Å³/cell

---

Entry 3:
Ba3CdBi3: optimized geometry, PBE.

The structure in POSCAR format:
```
Ba3CdBi3
1.0
10.422 0.000 0.000
-5.211 9.025 0.000
0.000 0.000 7.175
Ba Cd Bi
6 2 6
Cartesian
-3.052 6.297 1.794 Ba
1.284 3.234 1.794 Ba
3.442 0.505 5.381 Ba
1.768 8.520 1.794 Ba
3.927 5.792 5.381 Ba
8.263 2.729 5.381 Ba
0.000 6.017 5.381 Cd
5.211 3.008 1.794 Cd
-2.947 6.193 5.381 Bi
1.321 3.377 5.381 Bi
3.585 0.544 1.794 Bi
1.626 8.481 5.381 Bi
3.889 5.649 1.794 Bi
8.158 2.833 1.794 Bi
```

Results
Energy of formation from the pure elements = -0.6493 eV/atom
Offset from the most stable computed form = 89 meV/atom
Raw total energy = -45.7 eV/cell
Calculated volume = 674.9 Å³/cell

---

Entry 4:
Na4Al: optimized geometry, PBE.

The structure in POSCAR format:
```
Na4Al
1.0
5.874 0.000 0.000
0.000 5.874 0.000
0.000 0.000 5.874
Na Al
4 1
Cartesian
0.000 0.000 0.000 Na
0.000 2.937 2.937 Na
2.937 0.000 2.937 Na
2.937 2.937 0.000 Na
2.937 2.937 2.937 Al
```

Results
Energy of formation from the pure elements = 0.3004 eV/atom
Raw total energy = -7.5 eV/cell
Calculated volume = 202.7 Å³/cell

---

Entry 5:
Ba4MoRu: optimized geometry, PBE.

The structure in POSCAR format:
```
Ba4MoRu
1.0
0.000 4.860 4.860
4.860 0.000 4.860
4.860 4.860 0.000
Ba Mo Ru
4 1 1
Cartesian
3.650 3.650 3.650 Ba
6.070 6.070 3.650 Ba
6.070 3.650 6.070 Ba
3.650 6.070 6.070 Ba
0.000 0.000 0.000 Mo
7.290 7.290 7.290 Ru
```

Results
Energy of formation from the pure elements = 1.5898 eV/atom
Raw total energy = -18.3 eV/cell
Calculated volume = 229.6 Å³/cell

---

Entry 6:
Cs2HfTe6Au2: optimized geometry, PBE.

The structure in POSCAR format:
```
Cs2HfTe6Au2
1.0
7.036 -4.049 0.000
7.036 4.049 0.000
-4.687 0.000 7.744
Cs Hf Te Au
2 1 6 2
Cartesian
2.348 0.000 1.767 Cs
7.036 0.000 5.977 Cs
-2.344 0.000 3.872 Hf
5.725 2.273 1.871 Te
-0.292 0.000 5.876 Te
3.659 2.273 5.873 Te
5.725 -2.273 1.871 Te
9.677 0.000 1.868 Te
3.659 -2.273 5.873 Te
2.337 0.000 5.551 Au
7.048 0.000 2.193 Au
```

Results
Raw total energy = -42.4 eV/cell
Formation energy (no corrections) = -11.13 kcal/mol of atoms
Calculated volume = 441.3 Å³/cell